Material: CeGd2Er
Method: DFT, PBE
State: optimized geometry

Cell: 3.5255 3.5255 9.9980 Å, 90.00 90.00 90.00°
With the nearest neighbours (Å) after each atom.
Fractional positions:
Er 0.5000 0.5000 0.5000  4 Er 3.53, 8 Gd 3.57
Ce 0.5000 0.5000 0.0000  8 Gd 3.49, 4 Ce 3.53
Gd 0.0000 0.0000 0.7550  4 Ce 3.49, 4 Gd 3.53, 4 Er 3.57
Gd 0.0000 0.0000 0.2450  4 Ce 3.49, 4 Gd 3.53, 4 Er 3.57

Properties
As for the energy above the lowest structure with this stoichiometry: 4.5 meV/atom. The space group is No. 123. For the formation energy, the calculation gives 0.0659 eV per atom. As for the total magnetic moment: 13.72 μB/cell. As for the calculated total energy: -9.60 eV per atom.



Material: BaNbCr2
Method: DFT, PBE
State: optimized geometry

Cell: 4.7246 4.7246 4.7246 Å, 60.00 60.00 60.00°
With the nearest neighbours (Å) after each atom.
Fractional positions:
Nb 0.0000 0.0000 0.0000  8 Cr 2.89
Cr 0.7500 0.7500 0.7500  4 Ba 2.89, 4 Nb 2.89
Cr 0.2500 0.2500 0.2500  4 Ba 2.89, 4 Nb 2.89
Ba 0.5000 0.5000 0.5000  8 Cr 2.89

Properties
As for the energy above the lowest structure with this stoichiometry: 172.8 meV/atom. The space group is No. 225. For the formation energy, the calculation gives 1.3816 eV per atom. As for the total magnetic moment: 0.00 μB/cell. As for the calculated total energy: -6.43 eV per atom.



Repeat the second record exactly.
Material: BaNbCr2
Method: DFT, PBE
State: optimized geometry

Cell: 4.7246 4.7246 4.7246 Å, 60.00 60.00 60.00°
With the nearest neighbours (Å) after each atom.
Fractional positions:
Nb 0.0000 0.0000 0.0000  8 Cr 2.89
Cr 0.7500 0.7500 0.7500  4 Ba 2.89, 4 Nb 2.89
Cr 0.2500 0.2500 0.2500  4 Ba 2.89, 4 Nb 2.89
Ba 0.5000 0.5000 0.5000  8 Cr 2.89

Properties
As for the energy above the lowest structure with this stoichiometry: 172.8 meV/atom. The space group is No. 225. For the formation energy, the calculation gives 1.3816 eV per atom. As for the total magnetic moment: 0.00 μB/cell. As for the calculated total energy: -6.43 eV per atom.



Question: Look up the energy above the lowest structure with this stoichiometry of the first one.
Answer: 4.5 meV/atom



Question: Among the records above, which one has the lowest total magnetic moment?
Answer: BaNbCr2



Question: Number 2 is which compound?
Answer: BaNbCr2